4
Lattice="-0.9093 -2.9829 2.2335 -3.6018 -0.4361 1.2450 -2.1771 -2.8387 -1.3838" Properties=species:S:1:pos:R:3 comment="Li2BOs, optimized geometry, DFT GGA-PBE" energy_ev_per_atom=-5.1327 volume_a3_per_atom=9.98 sg="No. 216" pbc="T T T"
B -3.3441 -3.1288 1.0473
Li 0.0000 0.0000 0.0000
Li -5.0161 -4.6932 1.5710
Os -1.6720 -1.5644 0.5237

=====

12
Lattice="-5.2008 -2.7705 -0.8627 2.6877 -3.9315 -3.5773 1.0946 -3.5132 4.6835" Properties=species:S:1:pos:R:3 comment="MoS2, optimized geometry, DFT GGA-PBE" energy_ev_per_atom=-6.6479 volume_a3_per_atom=17.61 sg="No. 205" pbc="T T T"
Mo 0.0000 0.0000 0.0000
Mo -1.2566 -3.3510 -2.2200
Mo -2.0531 -3.1418 1.9104
Mo 1.8911 -3.7223 0.5531
S 0.4498 -2.2750 -0.8143
S 0.5616 -4.8970 -2.8073
S -1.8916 -4.4917 -0.1372
S -1.7798 -7.1137 -2.1302
S 0.3612 -3.1015 2.3737
S 0.4731 -5.7235 0.3807
S -1.9801 -5.3182 3.0508
S -1.8683 -7.9402 1.0578

=====

10
Lattice="8.5332 2.5158 4.8882 7.4158 6.5831 2.1694 -9.3329 -3.6477 -1.6216" Properties=species:S:1:pos:R:3 comment="Nd2GdCo2C2N3, optimized geometry, DFT GGA-PBE" energy_ev_per_atom=-7.9751 volume_a3_per_atom=12.38 sg="No. 139" pbc="T T T"
C 3.1008 1.7690 1.3721
C 12.8482 7.3299 5.6855
Co 3.5874 1.7088 3.3977
Co 3.0287 3.7424 2.0383
Gd 0.0000 0.0000 0.0000
N 1.9517 1.1135 0.8637
N 7.9745 4.5495 3.5288
N 13.9973 7.9854 6.1939
Nd 5.9236 3.3794 2.6213
Nd 10.0254 5.7195 4.4363

=====

3
Lattice="-4.3166 -1.1661 -0.9483 -3.1544 0.0289 3.3077 -3.2803 3.1830 0.0020" Properties=species:S:1:pos:R:3 comment="PmBePt, optimized geometry, DFT GGA-PBE" volume_a3_per_atom=22.51 polymorph_energy_mev_per_atom=0 sg="No. 216" pbc="T T T"
Be -2.6878 0.5115 0.5904
Pm -8.0634 1.5344 1.7711
Pt 0.0000 0.0000 0.0000

=====

4
Lattice="1.9587 -2.7392 -2.9694 0.4332 -4.3720 0.9246 -2.4608 -3.0208 -2.2307" Properties=species:S:1:pos:R:3 comment="AlCuHgPt, optimized geometry, DFT GGA-PBE" volume_a3_per_atom=16.00 polymorph_energy_mev_per_atom=0 sg="No. 216" pbc="T T T"
Al 0.0000 0.0000 0.0000
Cu -0.0517 -7.5990 -3.2066
Hg -0.0344 -5.0660 -2.1377
Pt -0.0172 -2.5330 -1.0689

=====

10
Lattice="-3.0366 11.8112 2.0160 -1.1333 -12.0453 -2.5328 -0.4756 -0.8424 4.2189" Properties=species:S:1:pos:R:3 comment="LaSm2Ge7, optimized geometry, DFT GGA-PBE" energy_ev_per_atom=-5.2085 volume_a3_per_atom=22.19 sg="No. 65" pbc="T T T"
Ge -2.2644 2.1324 0.1705
Ge -1.9055 -2.3666 -0.6873
Ge -3.0941 9.1302 3.6946
Ge -2.7314 4.5838 2.8277
Ge -2.3228 -0.5383 1.8511
Ge -1.9141 -5.6603 0.8744
Ge -1.5514 -10.2067 0.0075
La 0.0000 0.0000 0.0000
Sm -2.6875 7.4354 1.1816
Sm -1.4824 -7.6695 -1.6985

=====

44
Lattice="11.7442 -2.5305 0.0000 11.7442 2.5305 0.0000 -1.8520 0.0000 8.2167" Properties=species:S:1:pos:R:3 comment="Zn3B2O6, optimized geometry, DFT GGA-PBE" volume_a3_per_atom=11.10 polymorph_energy_mev_per_atom=5 sg="No. 15" pbc="T T T"
B 4.3610 -0.9309 0.1531
B 13.2165 0.8967 0.3019
B 9.3458 0.8967 3.8064
B 18.2014 -0.9309 3.9552
B 3.4350 0.9309 4.2615
B 12.2905 -0.8967 4.4103
B 8.4198 -0.8967 7.9148
B 17.2754 0.9309 8.0636
O 4.3433 0.4480 0.1364
O 13.5842 -0.4360 0.3168
O 10.6915 -1.5460 0.8258
O 7.6949 -0.9036 1.0054
O 16.4646 0.9464 1.3202
O 13.2985 1.6091 1.4788
O 9.2638 1.6091 2.6295
O 6.0977 0.9464 2.7882
O 14.8674 -0.9036 3.1030
O 11.8708 -1.5460 3.2826
O 8.9782 -0.4360 3.7916
O 18.2190 0.4480 3.9720
O 3.4174 -0.4480 4.2447
O 12.6582 0.4360 4.4251
O 9.7655 1.5460 4.9341
O 6.7689 0.9036 5.1137
O 15.5386 -0.9464 5.4285
O 12.3725 -1.6091 5.5872
O 8.3378 -1.6091 6.7379
O 5.1718 -0.9464 6.8965
O 13.9414 0.9036 7.2113
O 10.9448 1.5460 7.3909
O 8.0521 0.4360 7.8999
O 17.2930 -0.4480 8.0803
Zn 8.5060 0.9306 1.0144
Zn 12.6064 -1.6397 1.4551
Zn 16.2831 -0.9738 1.7106
Zn 6.2792 -0.9738 2.3978
Zn 9.9560 -1.6397 2.6532
Zn 14.0563 0.9306 3.0940
Zn 7.5800 -0.9306 5.1227
Zn 11.6804 1.6397 5.5635
Zn 15.3571 0.9738 5.8189
Zn 5.3532 0.9738 6.5061
Zn 9.0300 1.6397 6.7616
Zn 13.1303 -0.9306 7.2023

=====

8
Lattice="-2.4320 -3.1147 2.1851 1.9740 -3.2499 -2.4356 4.6013 -0.5044 4.4021" Properties=species:S:1:pos:R:3 comment="Li2Mg2CdInCu2, optimized geometry, DFT GGA-PBE" energy_ev_per_atom=-2.4313 volume_a3_per_atom=16.28 sg="No. 115" pbc="T T T"
Cd 0.0000 0.0000 0.0000
Cu 2.1463 -1.7520 -0.1087
Cu 2.2260 -1.9347 4.3856
In 2.0716 -3.4345 2.0758
Li -0.0767 -1.6823 2.1825
Li 4.4489 -2.0045 2.0943
Mg -0.2290 -3.1823 -0.1253
Mg 2.3006 -0.2522 2.2011

=====

8
Lattice="4.8258 -1.5334 0.0000 4.8258 1.5334 0.0000 -0.9762 0.0000 5.0071" Properties=species:S:1:pos:R:3 comment="Li3AuO4, optimized geometry, DFT GGA-PBE" volume_a3_per_atom=9.26 polymorph_energy_mev_per_atom=31 sg="No. 12" pbc="T T T"
Au 4.8258 0.0000 0.0000
Li 2.0539 0.0000 1.4663
Li -0.4881 0.0000 2.5036
Li 6.6215 0.0000 3.5409
O 8.4036 0.0000 0.5398
O 5.6640 0.0000 1.8384
O 3.0114 0.0000 3.1687
O 0.2717 0.0000 4.4673

=====

9
Lattice="8.3971 0.0000 0.0000 0.0000 4.2141 0.0000 0.0000 0.0000 4.2141" Properties=species:S:1:pos:R:3 comment="Sc2Pa2O5, optimized geometry, DFT GGA-PBE" volume_a3_per_atom=16.57 polymorph_energy_mev_per_atom=473 sg="No. 123" pbc="T T T"
O 2.7089 2.1071 0.0000
O 5.6883 2.1071 0.0000
O 2.7089 0.0000 2.1071
O 5.6883 0.0000 2.1071
O 4.1986 2.1071 2.1071
Pa 2.0314 2.1071 2.1071
Pa 6.3657 2.1071 2.1071
Sc 0.0000 0.0000 0.0000
Sc 4.1986 0.0000 0.0000

=====

24
Lattice="5.1010 -2.9444 0.0000 5.1010 2.9444 0.0000 -3.4526 0.0000 12.8351" Properties=species:S:1:pos:R:3 comment="Bi3Mo4W2N3, optimized geometry, DFT GGA-PBE" energy_ev_per_atom=-8.5245 volume_a3_per_atom=16.06 sg="No. 15" pbc="T T T"
Bi 5.9310 -0.4837 3.2017
Bi 4.2379 2.4475 3.2088
Bi 2.5447 -0.4838 3.2158
Bi 4.2047 0.4838 9.6192
Bi 2.5115 -2.4475 9.6263
Bi 0.8183 0.4838 9.6334
Mo 7.6771 0.5054 0.9415
Mo 0.8459 0.4627 0.9455
Mo 7.6298 0.4627 5.4720
Mo 0.7986 0.5054 5.4760
Mo 5.9508 -0.5054 7.3590
Mo -0.8804 -0.4627 7.3631
Mo 5.9035 -0.4627 11.8895
Mo -0.9277 -0.5054 11.8935
N 2.5505 1.4722 0.0000
N 5.9380 1.4481 0.0023
N 2.5377 1.4481 6.4152
N 0.8242 -1.4722 6.4175
N 4.2117 -1.4481 6.4198
N 0.8114 -1.4481 12.8328
W 4.2230 0.5064 0.8802
W 4.2527 0.5064 5.5373
W 2.4967 -0.5064 7.2978
W 2.5264 -0.5064 11.9548

=====

8
Lattice="-2.4636 0.6628 -3.0891 1.9253 -2.7909 -2.1343 -6.7904 -7.5817 3.7888" Properties=species:S:1:pos:R:3 comment="CsPtNO, optimized geometry, DFT GGA-PBE" volume_a3_per_atom=21.79 polymorph_energy_mev_per_atom=580 sg="No. 129" pbc="T T T"
Cs -1.3939 -1.9381 -0.6032
Cs -5.9348 -7.7718 -0.8315
N -3.3498 -4.8855 -2.2738
N -3.9789 -4.8244 0.8391
O -1.3664 -0.2007 -2.8504
O 0.8281 -1.9275 -2.3730
Pt -4.7616 -3.9915 -0.9561
Pt -2.5671 -5.7184 -0.4786